(1)
Compound: Cr2GaC
Source: Alexandria
Functional: PBE
Structure: optimized geometry

Cell lengths 5.5698, 5.5698, 5.5698 Å; angles 90.00, 90.00, 90.00 degrees
Space group Fm-3m (No. 225)
Inequivalent atoms, fractional coordinates:
1 Cr 0.2500 0.2500 0.2500 x8
2 Ga 0.0000 0.0000 0.0000 x4
3 C 0.0000 0.0000 0.5000 x4

Energy relative to the elements, kJ/mol of formula units: 396

(2)
Compound: Na2NbF8
Source: Alexandria
Functional: PBE
Structure: optimized geometry

Cell lengths 15.1504, 3.7955, 5.2702 Å; angles 90.00, 105.87, 90.00 degrees
Space group C2/m (No. 12)
Inequivalent atoms, fractional coordinates:
1 Na 0.1628 0.0000 0.1747 x4
2 Nb 0.0000 0.5000 0.5000 x2
3 F 0.0241 0.0000 0.3197 x4
4 F 0.0724 0.5000 0.8661 x4
5 F 0.1239 0.5000 0.4458 x4
6 F 0.2422 0.0000 0.8806 x4

Energy relative to the elements, uncorrected, meV per atom: -2537